Compound: Nb3VO
Source: Alexandria via LeMat-Bulk
Functional: GGA+U
Structure: optimized geometry

Lattice parameters (Å, degrees): 4.6388 4.6388 4.6388 90.00 90.00 90.00
Last column: nearest neighbours and their distance in Å.
Positions (direct):
Nb 0.0000 0.0000 0.5000  2 V 2.32
Nb 0.0000 0.5000 0.0000  2 V 2.32
Nb 0.5000 0.0000 0.0000  2 V 2.32
V 0.0000 0.0000 0.0000  6 Nb 2.32
O 0.5000 0.5000 0.5000  12 Nb 3.28

Properties
Calculated volume in A^3/atom: 19.964
Energy above the most stable polymorph in this dataset in meV per atom: 2151.1